Material: ScCuP
Method: DFT, PBE
State: optimized geometry

```
data_ScCuP
_chemical_formula_sum 'Sc3 Cu3 P3'
_space_group_name_H-M_alt 'P -6 2 m'
_space_group_IT_number 189
_space_group_name_Hall 'P -6 -2'
_cell_length_a 6.4032
_cell_length_b 6.4032
_cell_length_c 3.7888
_cell_angle_alpha 90.00
_cell_angle_beta 90.00
_cell_angle_gamma 120.00
loop_
_atom_site_label
_atom_site_type_symbol
_atom_site_fract_x
_atom_site_fract_y
_atom_site_fract_z
Sc1 Sc 0.0000 0.4086 0.0000
Cu1 Cu 0.0000 0.7541 0.5000
P1 P 0.0000 0.0000 0.0000
P2 P 0.3333 0.6667 0.5000
```

Formation energy in eV per formula unit: -2.5
Volume in Å³/atom: 14.95

---

Material: ScCu2P
Method: DFT, PBE
State: optimized geometry

```
data_ScCu2P
_chemical_formula_sum 'Sc1 Cu2 P1'
_space_group_name_H-M_alt 'P 4/m m m'
_space_group_IT_number 123
_space_group_name_Hall '-P 4 2'
_cell_length_a 3.6762
_cell_length_b 3.6762
_cell_length_c 4.3560
_cell_angle_alpha 90.00
_cell_angle_beta 90.00
_cell_angle_gamma 90.00
loop_
_atom_site_label
_atom_site_type_symbol
_atom_site_fract_x
_atom_site_fract_y
_atom_site_fract_z
Sc1 Sc 0.0000 0.0000 0.0000
Cu1 Cu 0.0000 0.5000 0.5000
P1 P 0.5000 0.5000 0.0000
```

Formation energy in eV per formula unit: -1.8
Volume in Å³/atom: 14.72

---

Material: ScCu2P
Method: DFT, PBE
State: optimized geometry

```
data_ScCu2P
_chemical_formula_sum 'Sc2 Cu4 P2'
_space_group_name_H-M_alt 'A m m 2'
_space_group_IT_number 38
_space_group_name_Hall 'A 2 -2'
_cell_length_a 3.5645
_cell_length_b 3.6081
_cell_length_c 9.4655
_cell_angle_alpha 90.00
_cell_angle_beta 90.00
_cell_angle_gamma 90.00
loop_
_atom_site_label
_atom_site_type_symbol
_atom_site_fract_x
_atom_site_fract_y
_atom_site_fract_z
Sc1 Sc 0.0000 0.0000 0.0000
Cu1 Cu 0.0000 0.0000 0.7240
Cu2 Cu 0.5000 0.0000 0.3015
P1 P 0.5000 0.0000 0.5645
```

Formation energy in eV per formula unit: -2.0
Volume in Å³/atom: 15.22

---

Material: Sc2Cu2P3
Method: DFT, PBE
State: optimized geometry

```
data_Sc2Cu2P3
_chemical_formula_sum 'Sc8 Cu8 P12'
_space_group_name_H-M_alt 'C 1 2/m 1'
_space_group_IT_number 12
_space_group_name_Hall '-C 2y'
_cell_length_a 13.8345
_cell_length_b 3.8036
_cell_length_c 10.4324
_cell_angle_alpha 90.00
_cell_angle_beta 125.23
_cell_angle_gamma 90.00
loop_
_atom_site_label
_atom_site_type_symbol
_atom_site_fract_x
_atom_site_fract_y
_atom_site_fract_z
Sc1 Sc 0.1066 0.0000 0.4472
Sc2 Sc 0.2357 0.0000 0.8382
Cu1 Cu 0.0497 0.5000 0.8156
Cu2 Cu 0.0858 0.0000 0.1591
P1 P 0.0838 0.5000 0.6217
P2 P 0.1235 0.0000 0.9727
P3 P 0.1648 0.5000 0.3203
```

Formation energy in eV per formula unit: -6.2
Volume in Å³/atom: 16.01

---

Material: Sc2CuP2
Method: DFT, PBE
State: optimized geometry

```
data_Sc2CuP2
_chemical_formula_sum 'Sc4 Cu2 P4'
_space_group_name_H-M_alt 'I 4/m m m'
_space_group_IT_number 139
_space_group_name_Hall '-I 4 2'
_cell_length_a 5.1203
_cell_length_b 5.1203
_cell_length_c 7.9623
_cell_angle_alpha 90.00
_cell_angle_beta 90.00
_cell_angle_gamma 90.00
loop_
_atom_site_label
_atom_site_type_symbol
_atom_site_fract_x
_atom_site_fract_y
_atom_site_fract_z
Sc1 Sc 0.0000 0.5000 0.2500
Cu1 Cu 0.0000 0.0000 0.0000
P1 P 0.0000 0.0000 0.2845
```

Formation energy in eV per formula unit: -3.4
Volume in Å³/atom: 20.88
Energy relative to the lowest polymorph listed for this composition in eV per atom: 0.248

---

Material: ScCu2P
Method: DFT, PBE
State: optimized geometry

```
data_ScCu2P
_chemical_formula_sum 'Sc4 Cu8 P4'
_space_group_name_H-M_alt 'F m m m'
_space_group_IT_number 69
_space_group_name_Hall '-F 2 2'
_cell_length_a 5.1143
_cell_length_b 5.1712
_cell_length_c 9.6498
_cell_angle_alpha 90.00
_cell_angle_beta 90.00
_cell_angle_gamma 90.00
loop_
_atom_site_label
_atom_site_type_symbol
_atom_site_fract_x
_atom_site_fract_y
_atom_site_fract_z
Sc1 Sc 0.0000 0.0000 0.0000
Cu1 Cu 0.0000 0.2500 0.2500
P1 P 0.0000 0.0000 0.5000
```

Formation energy in eV per formula unit: -1.0
Volume in Å³/atom: 15.95